## P
LiPuTlIn | PBE | optimized geometry

Values from the calculation:
The value obtained for the calculated volume is 23.07 Å³/atom. The value obtained for the size of the total moment is 5.995 μB/f.u.

Lattice parameters (Å, degrees): 3.3558 3.3558 8.1925 90.00 90.00 90.00
Last column: nearest neighbours and their distance in Å.
Space group P4mm (No. 99)
Symmetry-distinct sites (fractional):
Li (0.0000, 0.0000, 0.0000) x1  4 In 2.94, 4 Tl 2.94
Pu (0.0000, 0.0000, 0.5036) x1  4 In 3.33, 4 Pu 3.36, 4 Tl 3.36
Tl (0.5000, 0.5000, 0.2124) x1  4 Li 2.94
In (0.5000, 0.5000, 0.7882) x1  4 Li 2.94



## Q
LiPuTlIn | PBE | optimized geometry

Values from the calculation:
The value obtained for the calculated volume is 24.95 Å³/atom. The value obtained for the size of the total moment is 5.577 μB/f.u.

Lattice parameters (Å, degrees): 7.3629 7.3629 7.3629 90.00 90.00 90.00
Last column: nearest neighbours and their distance in Å.
Space group F-43m (No. 216)
Symmetry-distinct sites (fractional):
Li (0.0000, 0.0000, 0.0000) x4  4 Tl 3.19, 4 In 3.19
Pu (0.0000, 0.0000, 0.5000) x4  4 Tl 3.19, 4 In 3.19
Tl (0.2500, 0.2500, 0.2500) x4  4 Li 3.19, 4 Pu 3.19
In (0.2500, 0.2500, 0.7500) x4  4 Li 3.19, 4 Pu 3.19



Of them, the most stable is P and the least stable is Q.



## P
RbLiIn2 | PBE | optimized geometry

Values from the calculation:
The value obtained for the calculated volume is 39.88 Å³/atom. The value obtained for the size of the total moment is 0.000 μB/f.u.

Lattice parameters (Å, degrees): 5.5162 5.5162 20.9685 90.00 90.00 90.00
Last column: nearest neighbours and their distance in Å.
Space group I-42d (No. 122)
Symmetry-distinct sites (fractional):
Rb (0.0000, 0.0000, 0.0000) x4  4 In 3.78, 4 Li 3.90
Li (0.0000, 0.0000, 0.5000) x4  4 In 2.99
In (0.0734, 0.2500, 0.6250) x8  2 In 2.87, 2 Li 2.99



## Q
RbLiIn2 | PBE | optimized geometry

Values from the calculation:
The value obtained for the calculated volume is 36.00 Å³/atom. The value obtained for the size of the total moment is 0.000 μB/f.u.

Lattice parameters (Å, degrees): 4.9602 4.9602 20.2736 90.00 90.00 120.00
Last column: nearest neighbours and their distance in Å.
Space group R-3m (No. 166, hexagonal axes)
Symmetry-distinct sites (fractional):
Rb (0.0000, 0.0000, 0.0000) x3  8 In 3.79-4.12
Li (0.0000, 0.0000, 0.5000) x3  6 In 2.89
In (0.0000, 0.0000, 0.1871) x6  3 Li 2.89, 3 In 2.98



## R
RbLiIn2 | PBE | optimized geometry

Values from the calculation:
The value obtained for the calculated volume is 28.57 Å³/atom. The value obtained for the size of the total moment is 0.000 μB/f.u.

Lattice parameters (Å, degrees): 3.5562 3.5562 9.0373 90.00 90.00 90.00
Last column: nearest neighbours and their distance in Å.
Space group P4/mmm (No. 123)
Symmetry-distinct sites (fractional):
Rb (0.0000, 0.0000, 0.0000) x1  4 Rb 3.56, 8 In 3.83
Li (0.0000, 0.0000, 0.5000) x1  8 In 2.99
In (0.5000, 0.5000, 0.3203) x2  4 Li 2.99, 1 In 3.25



Of them, the most stable is Q and the least stable is P.



## P
RbLiInSe2 | PBE | optimized geometry

Values from the calculation:
The value obtained for the calculated volume is 27.60 Å³/atom. The value obtained for the size of the total moment is 0.000 μB/f.u.

Lattice parameters (Å, degrees): 5.1864 5.1864 5.1312 90.00 90.00 90.00
Last column: nearest neighbours and their distance in Å.
Space group P4/mmm (No. 123)
Symmetry-distinct sites (fractional):
Rb (0.0000, 0.0000, 0.0000) x1  8 Se 3.65, 4 In 3.67
Li (0.5000, 0.5000, 0.5000) x1  2 In 2.57, 4 Se 2.59
In (0.5000, 0.5000, 0.0000) x1  2 Li 2.57
Se (0.0000, 0.5000, 0.5000) x2  2 Li 2.59



## Q
RbLiInSe2 | PBE | optimized geometry

Values from the calculation:
The value obtained for the calculated volume is 31.94 Å³/atom. The value obtained for the size of the total moment is 0.000 μB/f.u.

Lattice parameters (Å, degrees): 6.7788 14.8974 6.3252 90.00 90.00 90.00
Last column: nearest neighbours and their distance in Å.
Space group Cmme (No. 67)
Symmetry-distinct sites (fractional):
Rb (0.0000, 0.2500, 0.2476) x4  8 Se 3.65-3.92, 2 Li 4.05
Li (0.0000, 0.0000, 0.5000) x4  2 Se 2.42
In (0.2500, 0.0000, 0.0000) x4  4 Se 2.87
Se (0.0000, 0.1185, 0.7616) x8  1 Li 2.42



Of them, the most stable is Q and the least stable is P.



## P
LiInRe | PBE | optimized geometry

Values from the calculation:
The value obtained for the calculated volume is 17.68 Å³/atom. The value obtained for the size of the total moment is 2.184 μB/f.u.

Lattice parameters (Å, degrees): 5.9640 5.9640 5.9640 90.00 90.00 90.00
Last column: nearest neighbours and their distance in Å.
Space group F-43m (No. 216)
Symmetry-distinct sites (fractional):
Li (0.0000, 0.0000, 0.0000) x4  4 Re 2.58, 4 In 2.58
In (0.2500, 0.2500, 0.2500) x4  4 Li 2.58
Re (0.2500, 0.2500, 0.7500) x4  4 Li 2.58



## Q
LiInRe | PBE | optimized geometry

Values from the calculation:
The value obtained for the calculated volume is 17.05 Å³/atom. The value obtained for the size of the total moment is 0.000 μB/f.u.

Lattice parameters (Å, degrees): 3.2048 4.5323 14.0885 90.00 90.00 90.00
Last column: nearest neighbours and their distance in Å.
Space group Fmm2 (No. 42)
Symmetry-distinct sites (fractional):
Li (0.0000, 0.0000, 0.0000) x4  2 Re 2.72, 4 Li 2.78, 2 In 2.92
In (0.0000, 0.0000, 0.6731) x4  4 In 2.78, 2 Re 2.89, 2 Li 2.92
Re (0.0000, 0.0000, 0.3438) x4  2 Li 2.72, 4 Re 2.78, 2 In 2.89



## R
LiInRe | PBE | optimized geometry

Values from the calculation:
The value obtained for the calculated volume is 15.83 Å³/atom. The value obtained for the size of the total moment is 1.202 μB/f.u.

Lattice parameters (Å, degrees): 3.0844 3.0844 9.9820 90.00 90.00 90.00
Last column: nearest neighbours and their distance in Å.
Space group I4mm (No. 107)
Symmetry-distinct sites (fractional):
Li (0.0000, 0.0000, 0.0000) x2  4 Re 2.66, 4 In 2.71
In (0.0000, 0.0000, 0.3392) x2  4 Li 2.71, 4 Re 2.87
Re (0.0000, 0.0000, 0.6522) x2  4 Li 2.66, 4 In 2.87



## S
LiInRe | PBE | optimized geometry

Values from the calculation:
The value obtained for the calculated volume is 16.58 Å³/atom. The value obtained for the size of the total moment is 0.000 μB/f.u.

Lattice parameters (Å, degrees): 2.7032 4.3758 8.4082 90.00 90.00 90.00
Last column: nearest neighbours and their distance in Å.
Space group Imm2 (No. 44)
Symmetry-distinct sites (fractional):
Li (0.0000, 0.0000, 0.0000) x2  2 Li 2.70, 5 In 2.79-2.94, 5 Re 2.81-2.93
In (0.0000, 0.0000, 0.3314) x2  2 In 2.70, 5 Li 2.79-2.94, 5 Re 2.82-2.92
Re (0.0000, 0.0000, 0.6663) x2  2 Re 2.70, 5 Li 2.81-2.93, 5 In 2.82-2.92



Of them, the most stable is Q and the least stable is P.